Entry 1:
# ZnCr3S PBE optimized geometry
data_ZnCr3S
_chemical_formula_sum 'Zn1 Cr3 S1'
_space_group_name_H-M_alt 'P m -3 m'
_space_group_IT_number 221
_space_group_name_Hall '-P 4 2 3'
_cell_length_a 4.713
_cell_length_b 4.713
_cell_length_c 4.713
_cell_angle_alpha 90.00
_cell_angle_beta 90.00
_cell_angle_gamma 90.00
loop_
_atom_site_label
_atom_site_type_symbol
_atom_site_fract_x
_atom_site_fract_y
_atom_site_fract_z
Zn1 Zn 0.000 0.000 0.000
Cr1 Cr 0.000 0.000 0.500
S1 S 0.500 0.500 0.500
# energy relative to the lowest polymorph listed for this composition = 864 meV per atom
# E_tot = -27.92 eV per cell



Entry 2:
# ZnCr4S8 PBE optimized geometry
data_ZnCr4S8
_chemical_formula_sum 'Zn3 Cr12 S24'
_space_group_name_H-M_alt 'R -3 m'
_space_group_IT_number 166
_space_group_name_Hall '-R 3 2"'
_cell_length_a 6.8027
_cell_length_b 6.8027
_cell_length_c 18.0189
_cell_angle_alpha 90.00
_cell_angle_beta 90.00
_cell_angle_gamma 120.00
loop_
_atom_site_label
_atom_site_type_symbol
_atom_site_fract_x
_atom_site_fract_y
_atom_site_fract_z
Zn1 Zn 0.0000 0.0000 0.0000
Cr1 Cr 0.0000 0.0000 0.5000
Cr2 Cr 0.0000 0.5000 0.5000
S1 S 0.0000 0.0000 0.2402
S2 S 0.0040 0.5020 0.7582
# energy relative to the lowest polymorph listed for this composition = 0 meV per atom
# E_tot = -240.96 eV per cell



Entry 3:
# ZnCrS PBE optimized geometry
data_ZnCrS
_chemical_formula_sum 'Zn2 Cr2 S2'
_space_group_name_H-M_alt 'P -1'
_space_group_IT_number 2
_space_group_name_Hall '-P 1'
_cell_length_a 3.700
_cell_length_b 4.486
_cell_length_c 6.511
_cell_angle_alpha 74.10
_cell_angle_beta 75.23
_cell_angle_gamma 79.34
loop_
_atom_site_label
_atom_site_type_symbol
_atom_site_fract_x
_atom_site_fract_y
_atom_site_fract_z
Zn1 Zn 0.236 0.262 0.183
Cr1 Cr 0.347 0.832 0.503
S1 S 0.362 0.374 0.788
# E_tot = -30.88 eV per cell



Entry 4:
# ZnCrS2 PBE optimized geometry
data_ZnCrS2
_chemical_formula_sum 'Zn3 Cr3 S6'
_space_group_name_H-M_alt 'R -3 m'
_space_group_IT_number 166
_space_group_name_Hall '-R 3 2"'
_cell_length_a 3.0126
_cell_length_b 3.0126
_cell_length_c 24.4410
_cell_angle_alpha 90.00
_cell_angle_beta 90.00
_cell_angle_gamma 120.00
loop_
_atom_site_label
_atom_site_type_symbol
_atom_site_fract_x
_atom_site_fract_y
_atom_site_fract_z
Zn1 Zn 0.0000 0.0000 0.0000
Cr1 Cr 0.0000 0.0000 0.5000
S1 S 0.0000 0.0000 0.1058
# E_tot = -61.05 eV per cell



Entry 5:
# Zn3CrS PBE optimized geometry
data_Zn3CrS
_chemical_formula_sum 'Zn3 Cr1 S1'
_space_group_name_H-M_alt 'P m -3 m'
_space_group_IT_number 221
_space_group_name_Hall '-P 4 2 3'
_cell_length_a 4.721
_cell_length_b 4.721
_cell_length_c 4.721
_cell_angle_alpha 90.00
_cell_angle_beta 90.00
_cell_angle_gamma 90.00
loop_
_atom_site_label
_atom_site_type_symbol
_atom_site_fract_x
_atom_site_fract_y
_atom_site_fract_z
Zn1 Zn 0.000 0.000 0.500
Cr1 Cr 0.500 0.500 0.500
S1 S 0.000 0.000 0.000
# energy relative to the lowest polymorph listed for this composition = 0 meV per atom
# E_tot = -14.00 eV per cell



Entry 6:
# ZnCrS3 PBE optimized geometry
data_ZnCrS3
_chemical_formula_sum 'Zn1 Cr1 S3'
_space_group_name_H-M_alt 'P m -3 m'
_space_group_IT_number 221
_space_group_name_Hall '-P 4 2 3'
_cell_length_a 4.492
_cell_length_b 4.492
_cell_length_c 4.492
_cell_angle_alpha 90.00
_cell_angle_beta 90.00
_cell_angle_gamma 90.00
loop_
_atom_site_label
_atom_site_type_symbol
_atom_site_fract_x
_atom_site_fract_y
_atom_site_fract_z
Zn1 Zn 0.000 0.000 0.000
Cr1 Cr 0.500 0.500 0.500
S1 S 0.000 0.500 0.500
# E_tot = -22.28 eV per cell



Entry 7:
# Zn3CrS4 PBE optimized geometry
data_Zn3CrS4
_chemical_formula_sum 'Zn3 Cr1 S4'
_space_group_name_H-M_alt 'P -4 3 m'
_space_group_IT_number 215
_space_group_name_Hall 'P -4 2 3'
_cell_length_a 5.465
_cell_length_b 5.465
_cell_length_c 5.465
_cell_angle_alpha 90.00
_cell_angle_beta 90.00
_cell_angle_gamma 90.00
loop_
_atom_site_label
_atom_site_type_symbol
_atom_site_fract_x
_atom_site_fract_y
_atom_site_fract_z
Zn1 Zn 0.000 0.000 0.500
Cr1 Cr 0.500 0.500 0.500
S1 S 0.249 0.249 0.751
# E_tot = -35.04 eV per cell



Entry 8:
# ZnCr5S8 PBE optimized geometry
data_ZnCr5S8
_chemical_formula_sum 'Zn4 Cr20 S32'
_space_group_name_H-M_alt 'F -4 3 m'
_space_group_IT_number 216
_space_group_name_Hall 'F -4 2 3'
_cell_length_a 10.048
_cell_length_b 10.048
_cell_length_c 10.048
_cell_angle_alpha 90.00
_cell_angle_beta 90.00
_cell_angle_gamma 90.00
loop_
_atom_site_label
_atom_site_type_symbol
_atom_site_fract_x
_atom_site_fract_y
_atom_site_fract_z
Zn1 Zn 0.000 0.000 0.000
Cr1 Cr 0.125 0.125 0.375
Cr2 Cr 0.250 0.250 0.750
S1 S 0.115 0.115 0.615
S2 S 0.135 0.135 0.135
# E_tot = -368.27 eV per cell



| no. | total magnetic moment (Bohr magnetons per cell) |
| --- | --- |
| 1 | 12.03 |
| 2 | 30.01 |
| 3 | 0.00 |
| 4 | 0.00 |
| 5 | 4.61 |
| 6 | 0.00 |
| 7 | 4.00 |
| 8 | 64.00 |